Below is Np2BeAs4 after structural relaxation, with properties calculated at the PBE-GGA level.

Properties
SG: P-4m2
Formation energy from the elements (meV/atom): -493

a = 3.9246 Å, b = 3.9246 Å, c = 8.9919 Å
α = 90.00°, β = 90.00°, γ = 90.00°
Atoms (fractional coordinates):
Np  0.0000  0.5000  0.2447
Np  0.5000  0.0000  0.7553
Be  0.5000  0.5000  0.0000
As  0.0000  0.0000  0.5000
As  0.0000  0.5000  0.8632
As  0.5000  0.0000  0.1368
As  0.5000  0.5000  0.5000

Below is NpBeAs2 after structural relaxation, with properties calculated at the PBE-GGA level.

Properties
SG: R-3m
Formation energy from the elements (meV/atom): 56
Polymorph energy (0 for the lowest one) (kJ/mol of atoms): 40.7

a = 7.4267 Å, b = 7.4267 Å, c = 7.4267 Å
α = 34.06°, β = 34.06°, γ = 34.06°
Atoms (fractional coordinates):
Np  0.0000  0.0000  0.0000
Be  0.5000  0.5000  0.5000
As  0.4006  0.4006  0.4006
As  0.5994  0.5994  0.5994

Below is Np2BeAs3 after structural relaxation, with properties calculated at the PBE-GGA level.

Properties
SG: Pnma
Formation energy from the elements (meV/atom): -541

a = 7.8658 Å, b = 3.9644 Å, c = 15.6840 Å
α = 90.00°, β = 90.00°, γ = 90.00°
Atoms (fractional coordinates):
Np  0.1047  0.2500  0.2134
Np  0.2453  0.7500  0.4610
Np  0.2547  0.2500  0.9610
Np  0.3953  0.7500  0.7134
Np  0.6047  0.2500  0.2866
Np  0.7453  0.7500  0.0390
Np  0.7547  0.2500  0.5390
Np  0.8953  0.7500  0.7866
Be  0.1238  0.2500  0.6358
Be  0.3762  0.7500  0.1358
Be  0.6238  0.2500  0.8642
Be  0.8762  0.7500  0.3642
As  0.0054  0.2500  0.3970
As  0.1158  0.7500  0.0722
As  0.1676  0.2500  0.7805
As  0.3324  0.7500  0.2805
As  0.3842  0.2500  0.5722
As  0.4946  0.7500  0.8970
As  0.5054  0.2500  0.1030
As  0.6158  0.7500  0.4278
As  0.6676  0.2500  0.7195
As  0.8324  0.7500  0.2195
As  0.8842  0.2500  0.9278
As  0.9946  0.7500  0.6030

| no. | DOS(E_F) (states/eV per cell) | ρ (g cm⁻³) |
| --- | --- | --- |
| 1 | 14.92 | 9.4 |
| 2 | 8.45 | 5.7 |
| 3 | 67.97 | 9.6 |